[1]
First-principles (PBE) data for a relaxed structure of NpAl4Tl, as listed in the Alexandria database.

Cell lengths 5.5796, 5.5796, 5.5796 Å; angles 60.00, 60.00, 60.00 degrees
Sites, in units of the cell vectors:
Np 0.0000 0.0000 0.0000
Al 0.3739 0.3739 0.3739
Al 0.3739 0.3739 0.8782
Al 0.3739 0.8782 0.3739
Al 0.8782 0.3739 0.3739
Tl 0.7500 0.7500 0.7500

Its space group is F-43m, No. 216. The calculation puts the density at 7.43 Mg/m³.

---

[2]
First-principles (PBE) data for a relaxed structure of TmNpAl4, as listed in the Alexandria database.

Cell lengths 5.5191, 5.5191, 5.5191 Å; angles 60.00, 60.00, 60.00 degrees
Sites, in units of the cell vectors:
Tm 0.0000 0.0000 0.0000
Np 0.2500 0.2500 0.2500
Al 0.1264 0.6245 0.6245
Al 0.6245 0.1264 0.6245
Al 0.6245 0.6245 0.1264
Al 0.6245 0.6245 0.6245

Its space group is F-43m, No. 216. The calculation puts the density at 7.18 Mg/m³.

---

no.,calculated total energy (eV per cell),M_tot (μB per formula unit),DFT formation energy (meV/atom)
1,-29.51,4.89,127
2,-33.81,4.56,-238